Entry 1:
## CaSmZn4 (GGA-PBE)

Data for a geometry-optimized CaSmZn4 structure.

Cell lengths 5.8155, 5.8155, 5.8155 Å; angles 134.21, 101.16, 96.27 degrees
Closest atoms and distances in Å follow each position.
Atoms (fractional coordinates):
Ca  0.0000  0.0000  0.0000  12 Zn 3.13-3.24
Sm  0.5000  0.0000  0.5000  12 Zn 3.15-3.22
Zn  0.0927  0.3328  0.7599  3 Zn 2.60-2.61
Zn  0.4270  0.6672  0.7599  3 Zn 2.60-2.61
Zn  0.5730  0.3328  0.2401  3 Zn 2.60-2.61
Zn  0.9073  0.6672  0.2401  3 Zn 2.60-2.61

For the total energy, the calculation gives -2.293 eV/atom. The calculation puts the energy above the most stable polymorph in this dataset at 0 meV/atom. The value obtained for the total magnetization is 0.0 μB per formula unit. Its symmetry is Immm.

***

Entry 2:
## CaSm3Zn8 (GGA-PBE)

Data for a geometry-optimized CaSm3Zn8 structure.

Cell lengths 5.6303, 5.6303, 8.7506 Å; angles 90.00, 90.00, 120.00 degrees
Closest atoms and distances in Å follow each position.
Atoms (fractional coordinates):
Ca  0.0000  0.0000  0.0000  12 Zn 3.17-3.30, 4 Sm 3.39-3.41
Sm  0.0000  0.0000  0.3873  12 Zn 3.11-3.30, 3 Sm 3.38, 1 Ca 3.39
Sm  0.6667  0.3333  0.4930  12 Zn 3.12-3.30, 4 Sm 3.38-3.41
Sm  0.6667  0.3333  0.8826  12 Zn 3.15-3.29, 1 Sm 3.41, 3 Ca 3.41
Zn  0.0023  0.5012  0.1897  6 Zn 2.71-2.83
Zn  0.1676  0.3352  0.6899  6 Zn 2.71-2.83
Zn  0.1676  0.8324  0.6899  6 Zn 2.71-2.83
Zn  0.3333  0.6667  0.4380  6 Zn 2.71-2.73
Zn  0.3333  0.6667  0.9382  6 Zn 2.71-2.73
Zn  0.4988  0.5012  0.1897  6 Zn 2.71-2.83
Zn  0.4988  0.9977  0.1897  6 Zn 2.71-2.83
Zn  0.6648  0.8324  0.6899  6 Zn 2.71-2.83

For the total energy, the calculation gives -2.494 eV/atom. The value obtained for the total magnetization is 0.0 μB per formula unit. Its symmetry is P3m1.

***

Entry 3:
## CaSm3Zn2 (GGA-PBE)

Data for a geometry-optimized CaSm3Zn2 structure.

Cell lengths 3.8308, 10.1010, 9.0099 Å; angles 90.00, 90.00, 90.00 degrees
Closest atoms and distances in Å follow each position.
Atoms (fractional coordinates):
Ca  0.0000  0.0892  0.0000  4 Zn 3.11-3.26
Ca  0.0000  0.9108  0.5000  4 Zn 3.11-3.26
Sm  0.0000  0.2871  0.6566  3 Zn 2.97-3.06
Sm  0.0000  0.7129  0.1567  3 Zn 2.97-3.06
Sm  0.5000  0.2118  0.3438  3 Zn 2.98-3.07
Sm  0.5000  0.4320  0.9872  4 Zn 3.11-3.17
Sm  0.5000  0.5680  0.4872  4 Zn 3.11-3.17
Sm  0.5000  0.7882  0.8438  3 Zn 2.98-3.07
Zn  0.0000  0.4266  0.2670  7 Sm 2.98-3.17
Zn  0.0000  0.5734  0.7670  7 Sm 2.98-3.17
Zn  0.5000  0.0666  0.7085  3 Sm 2.97-3.07, 4 Ca 3.11-3.26
Zn  0.5000  0.9334  0.2085  3 Sm 2.97-3.07, 4 Ca 3.11-3.26

For the total energy, the calculation gives -3.245 eV/atom. The value obtained for the total magnetization is 0.0 μB per formula unit. Its symmetry is Pmc2_1.

***

Which of these has the lowest total energy? CaSm3Zn2

***

Among the records above, which one has the lowest total energy? CaSm3Zn2